Compound: KRhCl2
Source: the Alexandria database
Functional: GGA-PBE
Structure: optimized geometry

The structure in POSCAR format:
```
KRhCl2
1.0
5.055 0.000 0.000
0.000 5.050 0.000
0.000 0.000 3.366
K Rh Cl
1 1 2
Cartesian
2.527 0.000 1.683
0.000 2.525 1.683
0.000 0.000 0.000
2.527 2.525 0.000
```

Summary:
Calculated density (g/cm³): 4.1
Total magnetic moment (μB/cell): 2.00
ΔE to the lowest computed polymorph (eV per atom): 0.360
ΔE_f (raw) (eV/f.u.): -1.684
Space-group type: P4/mmm, No. 123
Volume (Å³/cell): 86



Compound: Pr6Nd3DyY2
Source: the Alexandria database
Functional: GGA-PBE
Structure: optimized geometry

The structure in POSCAR format:
```
Pr6Nd3DyY2
1.0
6.375 -0.002 0.013
-3.188 5.521 0.013
-1.085 -1.879 11.891
Pr Nd Dy Y
6 3 1 2
Cartesian
3.167 1.812 8.980
2.123 3.676 2.951
-1.064 1.828 2.937
-0.013 3.648 8.980
-0.021 -0.036 8.967
2.116 -0.008 2.937
-2.137 3.661 5.959
4.239 -0.021 5.959
1.051 1.820 5.959
0.000 0.000 0.000
0.000 3.680 0.013
3.187 1.839 0.013
```

Summary:
ΔE_f (eV/atom): 0.0113
Calculated density (g/cm³): 6.4
Total magnetic moment (μB/cell): 0.00
Space-group type: C2/m, No. 12
Volume (Å³/cell): 419



Compound: Sm6CdOs
Source: the Alexandria database
Functional: GGA-PBE
Structure: optimized geometry

The structure in POSCAR format:
```
Sm6CdOs
1.0
-1.696 5.550 3.267
-1.260 -1.522 7.300
4.805 0.227 4.794
Sm Cd Os
6 1 1
Cartesian
1.106 3.530 9.037
0.397 4.048 5.105
1.453 0.206 10.256
0.744 0.724 6.324
-2.158 2.918 7.736
-0.797 1.109 2.831
0.000 0.000 0.000
-1.478 2.014 5.284
```

Summary:
ΔE_f (eV/atom): 0.0537
Calculated density (g/cm³): 7.5
Total magnetic moment (μB/cell): 0.00
ΔE to the lowest computed polymorph (eV per atom): 0.082
Space-group type: C2/m, No. 12
Volume (Å³/cell): 266



Compound: RbLi3Br
Source: the Alexandria database
Functional: GGA-PBE
Structure: optimized geometry

The structure in POSCAR format:
```
RbLi3Br
1.0
6.283 0.000 0.000
0.000 6.283 0.000
0.000 0.000 6.283
Br Rb Li
1 1 3
Cartesian
3.141 3.141 3.141
0.000 0.000 0.000
0.000 3.141 0.000
0.000 0.000 3.141
3.141 0.000 0.000
```

Summary:
Calculated density (g/cm³): 1.2
Total magnetic moment (μB/cell): 0.00
ΔE to the lowest computed polymorph (eV per atom): 0.732
ΔE_f (raw) (eV/f.u.): 2.275
Space-group type: Pm-3m, No. 221
Volume (Å³/cell): 248



Compound: KPtSe2N
Source: the Alexandria database
Functional: GGA-PBE
Structure: optimized geometry

The structure in POSCAR format:
```
KPtSe2N
1.0
-5.062 -2.145 1.213
2.234 -5.164 0.194
0.858 0.542 4.538
K Se Pt N
1 2 1 1
Cartesian
0.000 0.000 0.000
1.117 -2.582 0.097
-2.531 -1.072 0.606
-0.985 -3.384 2.972
0.429 0.271 2.269
```

Summary:
Calculated density (g/cm³): 4.6
Total magnetic moment (μB/cell): 3.83
ΔE to the lowest computed polymorph (eV per atom): 1.958
ΔE_f (raw) (eV/f.u.): 10.452
Space-group type: P4/mmm, No. 123
Volume (Å³/cell): 147



Compound: BaMg3Hg
Source: the Alexandria database
Functional: GGA-PBE
Structure: optimized geometry

The structure in POSCAR format:
```
BaMg3Hg
1.0
-2.085 -1.375 -5.943
-5.966 -3.130 2.818
-0.035 7.117 -1.634
Ba Mg Hg
2 6 2
Cartesian
-5.554 -0.745 -3.123
-2.533 3.357 -1.636
-5.321 2.795 -4.024
-5.390 1.561 -0.217
-2.766 -0.183 -0.735
-2.697 1.051 -4.542
-5.374 -1.552 0.497
-2.713 4.164 -5.256
0.000 0.000 0.000
-1.043 -0.687 -2.971
```

Summary:
ΔE_f (eV/atom): -0.1172
Calculated density (g/cm³): 4.6
Total magnetic moment (μB/cell): 0.00
ΔE to the lowest computed polymorph (eV per atom): 0.063
Space-group type: P6_3/mmc, No. 194
Volume (Å³/cell): 298



Compound: P2WCl
Source: the Alexandria database
Functional: GGA-PBE
Structure: optimized geometry

The structure in POSCAR format:
```
P2WCl
1.0
-2.894 2.344 -3.043
0.058 -2.798 -2.210
-2.848 -1.367 1.656
Cl P W
1 2 1
Cartesian
-2.871 0.488 -0.694
0.000 0.000 0.000
-1.395 -2.083 -0.277
-1.418 -0.227 -2.627
```

Summary:
Calculated density (g/cm³): 7.6
Total magnetic moment (μB/cell): 0.37
ΔE to the lowest computed polymorph (eV per atom): 1.104
ΔE_f (raw) (eV/f.u.): 3.890
Space-group type: P4/mmm, No. 123
Volume (Å³/cell): 61



Compound: CsNa2MgAl
Source: the Alexandria database
Functional: GGA-PBE
Structure: optimized geometry

The structure in POSCAR format:
```
CsNa2MgAl
1.0
-0.498 5.737 -2.044
-5.060 0.752 3.343
2.996 1.737 4.145
Cs Na Mg Al
1 2 1 1
Cartesian
-1.280 4.113 2.722
-2.530 0.376 1.671
-0.249 2.869 -1.022
1.498 0.868 2.072
0.000 0.000 0.000
```

Summary:
ΔE_f (eV/atom): 0.1687
Calculated density (g/cm³): 1.9
Total magnetic moment (μB/cell): 0.00
Space-group type: P4/mmm, No. 123
Volume (Å³/cell): 202



Compound: Pr8Y6Er
Source: the Alexandria database
Functional: GGA-PBE
Structure: optimized geometry

The structure in POSCAR format:
```
Pr8Y6Er
1.0
6.663 0.000 0.000
0.000 8.227 -4.750
0.000 0.000 9.500
Pr Y Er
8 6 1
Cartesian
5.555 0.318 2.543
5.555 5.866 3.754
5.555 2.043 7.953
1.108 7.909 2.207
1.108 2.361 0.996
1.108 6.184 -3.203
5.862 2.742 4.750
0.801 5.485 0.000
4.364 5.420 -2.233
4.364 7.451 1.060
4.364 3.583 1.173
2.299 2.807 6.983
2.299 0.776 3.690
2.299 4.644 3.577
3.331 0.000 0.000
```

Summary:
ΔE_f (eV/atom): 0.1602
Calculated density (g/cm³): 5.8
Total magnetic moment (μB/cell): 0.00
ΔE to the lowest computed polymorph (eV per atom): 0.048
Space-group type: P-3, No. 147
Volume (Å³/cell): 521



Compound: La5Tl2Pb2
Source: the Alexandria database
Functional: GGA-PBE
Structure: optimized geometry

The structure in POSCAR format:
```
La5Tl2Pb2
1.0
8.595 0.000 0.000
0.000 8.637 0.000
0.000 -4.319 8.373
La Tl Pb
10 4 4
Cartesian
0.000 0.000 0.000
4.297 4.319 0.000
7.124 5.842 2.359
1.470 2.795 2.359
2.827 7.113 2.359
5.768 1.524 2.359
1.470 -1.524 6.013
7.124 1.524 6.013
5.768 -2.795 6.013
2.827 2.795 6.013
5.374 7.557 0.000
3.220 1.080 0.000
1.077 5.398 0.000
7.518 3.239 0.000
0.000 0.000 3.447
4.297 4.319 3.447
0.000 4.319 4.925
4.297 0.000 4.925
```

Summary:
ΔE_f (eV/atom): -0.4927
Calculated density (g/cm³): 8.1
Total magnetic moment (μB/cell): 0.00
Space-group type: Cmce, No. 64
Volume (Å³/cell): 622



Compound: PrLu3C
Source: the Alexandria database
Functional: GGA-PBE
Structure: optimized geometry

The structure in POSCAR format:
```
PrLu3C
1.0
4.952 0.000 0.000
0.000 4.952 0.000
0.000 0.000 4.952
Pr C Lu
1 1 3
Cartesian
2.476 2.476 2.476
0.000 0.000 0.000
0.000 2.476 0.000
0.000 0.000 2.476
2.476 0.000 0.000
```

Summary:
ΔE_f (eV/atom): -0.0480
Calculated density (g/cm³): 9.3
Total magnetic moment (μB/cell): 0.00
Space-group type: Pm-3m, No. 221
Volume (Å³/cell): 121



Compound: CaYTl
Source: the Alexandria database
Functional: GGA-PBE
Structure: optimized geometry

The structure in POSCAR format:
```
CaYTl
1.0
-1.858 -1.430 2.755
-0.228 -6.462 -3.508
6.908 -2.769 0.849
Y Ca Tl
2 2 2
Cartesian
1.887 -7.281 -1.560
5.208 -2.377 0.850
1.789 -3.959 0.098
5.305 -5.699 -0.808
-0.775 -2.385 1.560
-0.896 -5.934 -0.365
```

Summary:
ΔE_f (eV/atom): -0.2387
Calculated density (g/cm³): 5.9
Total magnetic moment (μB/cell): 0.00
ΔE to the lowest computed polymorph (eV per atom): 0.110
Space-group type: C2/m, No. 12
Volume (Å³/cell): 187



Compound: LaZnRu2
Source: the Alexandria database
Functional: GGA-PBE
Structure: optimized geometry

The structure in POSCAR format:
```
LaZnRu2
1.0
-1.556 -0.440 2.590
2.484 -1.756 -0.256
4.491 5.815 3.684
La Ru Zn
1 2 1
Cartesian
3.832 3.264 3.930
0.061 0.079 0.050
2.185 2.829 1.792
1.587 0.356 2.088
```

Summary:
ΔE_f (eV/atom): 0.2879
Calculated density (g/cm³): 9.6
Total magnetic moment (μB/cell): 0.00
Space-group type: Cmmm, No. 65
Volume (Å³/cell): 70



Compound: K2PtIN
Source: the Alexandria database
Functional: GGA-PBE
Structure: optimized geometry

The structure in POSCAR format:
```
K2PtIN
1.0
6.429 0.000 0.000
0.000 6.429 0.000
0.000 0.000 3.749
I K Pt N
1 2 1 1
Cartesian
3.214 3.214 1.874
0.000 3.214 0.000
3.214 0.000 0.000
0.000 0.000 0.000
0.000 0.000 1.874
```

Summary:
Calculated density (g/cm³): 4.4
Total magnetic moment (μB/cell): 0.41
ΔE to the lowest computed polymorph (eV per atom): 0.075
ΔE_f (raw) (eV/f.u.): -2.592
Space-group type: P4/mmm, No. 123
Volume (Å³/cell): 155



Compound: LaSm4Er7
Source: the Alexandria database
Functional: GGA-PBE
Structure: optimized geometry

The structure in POSCAR format:
```
LaSm4Er7
1.0
-0.277 -3.325 -6.166
1.469 -8.212 -1.763
-7.662 -2.258 3.490
La Sm Er
1 4 7
Cartesian
0.000 0.000 0.000
-1.630 -7.999 -3.604
-4.840 -5.797 -0.836
-4.109 -10.818 -3.984
-2.361 -2.978 -0.455
-6.927 -8.906 -2.032
0.457 -4.889 -2.408
-4.923 -7.314 -4.033
-1.547 -6.481 -0.407
-3.747 -9.129 -0.995
-0.138 -1.663 -3.083
-2.723 -4.667 -3.445
```

Summary:
ΔE_f (eV/atom): 0.0760
Calculated density (g/cm³): 8.1
Total magnetic moment (μB/cell): 0.00
ΔE to the lowest computed polymorph (eV per atom): 0.000
Space-group type: P-1, No. 2
Volume (Å³/cell): 390



Compound: KSrLi2
Source: the Alexandria database
Functional: GGA-PBE
Structure: optimized geometry

The structure in POSCAR format:
```
KSrLi2
1.0
-5.928 3.654 -1.421
-2.767 -0.506 -6.527
2.332 -4.425 5.049
K Li Sr
1 2 1
Cartesian
-3.971 0.402 -0.173
0.000 0.000 0.000
-2.391 -1.679 -2.726
-4.347 1.574 -3.974
```

Summary:
ΔE_f (eV/atom): 0.1739
Calculated density (g/cm³): 1.4
Total magnetic moment (μB/cell): 0.00
ΔE to the lowest computed polymorph (eV per atom): 0.068
Space-group type: I-4m2, No. 119
Volume (Å³/cell): 163



Compound: Th2Al3AgPt4
Source: the Alexandria database
Functional: GGA-PBE
Structure: optimized geometry

The structure in POSCAR format:
```
Th2Al3AgPt4
1.0
4.115 0.000 0.000
0.000 4.115 0.000
0.000 0.000 11.561
Th Al Ag Pt
2 3 1 4
Cartesian
2.057 0.000 2.884
0.000 2.057 8.678
0.000 0.000 5.781
2.057 0.000 10.144
0.000 2.057 1.417
2.057 2.057 5.781
2.057 2.057 0.000
0.000 0.000 0.000
2.057 0.000 7.666
0.000 2.057 3.896
```

Summary:
ΔE_f (eV/atom): -0.9559
Calculated density (g/cm³): 12.2
Total magnetic moment (μB/cell): 0.00
Space-group type: P-4m2, No. 115
Volume (Å³/cell): 196